No. 1
Density functional theory data (GGA-PBE) for crystalline SmThCdPd at its relaxed geometry. Values from VASP.

energy: -4.925 eV per atom
formation energy from the elements: -0.3628 eV/atom
V: 102.8 Å³/cell

Geometry as Quantum ESPRESSO input:
```
&SYSTEM
  ibrav = 0, nat = 4, ntyp = 4
/
ATOMIC_SPECIES
Pd 106.42 Pd.upf
Sm 150.36 Sm.upf
Cd 112.41 Cd.upf
Th 232.04 Th.upf
ATOMIC_POSITIONS crystal
Pd 0.250 0.250 0.250
Sm 0.000 0.000 0.000
Cd 0.750 0.750 0.750
Th 0.500 0.500 0.500
CELL_PARAMETERS angstrom
5.258 0.000 0.000
2.629 4.554 0.000
2.629 1.518 4.293
```

=====

No. 2
Density functional theory data (GGA-PBE) for crystalline SmTmCdPd at its relaxed geometry. Values from VASP.

energy: -4.354 eV per atom
formation energy from the elements: -0.5295 eV/atom
V: 96.3 Å³/cell

Geometry as Quantum ESPRESSO input:
```
&SYSTEM
  ibrav = 0, nat = 4, ntyp = 4
/
ATOMIC_SPECIES
Pd 106.42 Pd.upf
Tm 168.93 Tm.upf
Cd 112.41 Cd.upf
Sm 150.36 Sm.upf
ATOMIC_POSITIONS crystal
Pd 0.250 0.250 0.250
Tm 0.500 0.500 0.500
Cd 0.750 0.750 0.750
Sm 0.000 0.000 0.000
CELL_PARAMETERS angstrom
-2.527 0.006 -4.481
-4.509 -2.442 -0.414
-4.351 2.699 -0.496
```